No. 1
{
  "formula": "HfReNi",
  "functional": "PBE",
  "state": "optimized geometry",
  "formation_energy_ev_per_atom": -0.22,
  "lattice": [[3.6572, 0.0000, 0.0000], [0.0000, 3.6572, 0.0000], [-1.8286, -1.8286, 7.2183]],
  "species": ["Hf", "Re", "Re", "Hf", "Ni", "Ni"],
  "frac_coords": [[0.6753, 0.6753, 0.3507], [0.0000, 0.5000, 0.0000], [0.5000, 0.0000, 0.0000], [0.3247, 0.3247, 0.6493], [0.1362, 0.1362, 0.2725], [0.8638, 0.8638, 0.7275]]
}

***

No. 2
{
  "formula": "ZrGeAsIr2",
  "functional": "PBE",
  "state": "optimized geometry",
  "formation_energy_ev_per_atom": 1.20,
  "lattice": [[-3.7497, -0.2530, -3.1705], [-0.9191, -4.7826, 1.4686], [-3.0539, 1.6555, 3.4798]],
  "species": ["Zr", "Ir", "As", "Ir", "Ge"],
  "frac_coords": [[0.0000, 0.0000, 0.0000], [0.0000, 0.0000, 0.5000], [0.0000, 0.5000, 0.0000], [0.5000, 0.0000, 0.0000], [0.5000, 0.5000, 0.5000]]
}

***

No. 3
{
  "formula": "SmDy3In3",
  "functional": "PBE",
  "state": "optimized geometry",
  "polymorph_energy_ev_per_atom": 0.036,
  "formation_energy_ev_per_atom": -0.32,
  "lattice": [[-5.6614, -2.8707, -6.8757], [7.2707, -4.0161, -4.3099], [-1.6287, -7.9497, 4.6602]],
  "species": ["Dy", "Dy", "Dy", "Dy", "In", "Dy", "In", "Sm", "Dy", "In", "Sm", "Dy", "In", "Dy", "In", "Dy", "In", "In", "Sm", "In", "In", "Dy", "Dy", "In", "In", "Dy", "In", "Sm"],
  "frac_coords": [[0.3237, 0.1763, 0.8237], [0.0813, 0.4187, 0.5813], [0.1763, 0.8237, 0.3237], [0.8229, 0.6771, 0.3229], [0.9990, 0.2427, 0.8800], [0.8237, 0.3237, 0.1763], [0.8800, 0.9990, 0.2427], [0.4290, 0.4290, 0.4290], [0.4187, 0.5813, 0.0813], [0.3800, 0.5010, 0.7573], [0.0710, 0.5710, 0.9290], [0.6771, 0.3229, 0.8229], [0.2427, 0.8800, 0.9990], [0.6763, 0.6763, 0.6763], [0.7427, 0.6200, 0.0010], [0.1771, 0.1771, 0.1771], [0.7573, 0.3800, 0.5010], [0.5010, 0.7573, 0.3800], [0.5710, 0.9290, 0.0710], [0.1200, 0.4990, 0.2573], [0.4990, 0.2573, 0.1200], [0.5813, 0.0813, 0.4187], [0.3229, 0.8229, 0.6771], [0.0010, 0.7427, 0.6200], [0.6200, 0.0010, 0.7427], [0.9187, 0.9187, 0.9187], [0.2573, 0.1200, 0.4990], [0.9290, 0.0710, 0.5710]]
}

***

No. 4
{
  "formula": "CdIrPt3",
  "functional": "PBE",
  "state": "optimized geometry",
  "polymorph_energy_ev_per_atom": 0.905,
  "formation_energy_ev_per_atom": 1.98,
  "lattice": [[4.8500, 0.0000, 0.0000], [0.0000, 4.8500, 0.0000], [0.0000, 0.0000, 4.8500]],
  "species": ["Pt", "Pt", "Ir", "Pt", "Cd"],
  "frac_coords": [[0.5000, 0.0000, 0.0000], [0.0000, 0.5000, 0.0000], [0.5000, 0.5000, 0.5000], [0.0000, 0.0000, 0.5000], [0.0000, 0.0000, 0.0000]]
}

***

No. 5
{
  "formula": "Nd2PtCl2",
  "functional": "PBE",
  "state": "optimized geometry",
  "e_tot_ev_per_cell": -27.543,
  "lattice": [[4.0333, 0.0000, 0.7530], [1.9589, 3.5390, 0.6855], [-0.0210, -0.0239, 11.2904]],
  "species": ["Nd", "Cl", "Nd", "Cl", "Pt"],
  "frac_coords": [[0.7232, 0.2086, 0.3449], [0.5522, 0.0818, 0.8138], [0.2768, 0.7914, 0.6551], [0.4478, 0.9182, 0.1862], [0.0000, 0.5000, 0.5000]]
}

***

No. 6
{
  "formula": "PrNdTl6",
  "functional": "PBE",
  "state": "optimized geometry",
  "formation_energy_ev_per_atom": -0.32,
  "lattice": [[-4.1658, -0.7511, 2.3574], [-0.2239, -4.4831, -1.8240], [4.9285, -3.3546, 7.6403]],
  "species": ["Pr", "Tl", "Tl", "Tl", "Tl", "Nd", "Tl", "Tl"],
  "frac_coords": [[0.0000, 0.0000, 0.0000], [0.5000, 0.0000, 0.2510], [0.5000, 0.0000, 0.7490], [0.5000, 0.5000, 0.0000], [0.0000, 0.5000, 0.7490], [0.0000, 0.0000, 0.5000], [0.0000, 0.5000, 0.2510], [0.5000, 0.5000, 0.5000]]
}

***

No. 7
{
  "formula": "BaFe3Te",
  "functional": "PBE",
  "state": "optimized geometry",
  "polymorph_energy_ev_per_atom": 0.000,
  "lattice": [[-1.7514, -2.4233, -3.8814], [4.2171, -2.4676, -0.3624], [-1.7756, -3.4704, 2.9679]],
  "species": ["Fe", "Fe", "Ba", "Te", "Fe"],
  "frac_coords": [[0.0000, 0.0000, 0.5000], [0.0000, 0.5000, 0.0000], [0.5000, 0.5000, 0.5000], [0.0000, 0.0000, 0.0000], [0.5000, 0.0000, 0.0000]]
}

***

No. 8
{
  "formula": "PrSm3Tl",
  "functional": "PBE",
  "state": "optimized geometry",
  "formation_energy_ev_per_atom": -0.13,
  "lattice": [[4.8236, 0.0000, 1.1023], [0.0000, 4.9146, 0.0000], [-0.4795, 0.0000, 13.2029]],
  "species": ["Sm", "Tl", "Pr", "Sm", "Sm", "Sm", "Pr", "Tl", "Sm", "Sm"],
  "frac_coords": [[0.8760, 0.7500, 0.8963], [0.9778, 0.2500, 0.6927], [0.1746, 0.2500, 0.2991], [0.0743, 0.7500, 0.4997], [0.3737, 0.2500, 0.9010], [0.2746, 0.7500, 0.0990], [0.4737, 0.7500, 0.7009], [0.6705, 0.7500, 0.3073], [0.7723, 0.2500, 0.1037], [0.5740, 0.2500, 0.5003]]
}

***

No. 9
{
  "formula": "LaScP2",
  "functional": "PBE",
  "state": "optimized geometry",
  "polymorph_energy_ev_per_atom": 0.383,
  "formation_energy_ev_per_atom": -1.09,
  "lattice": [[3.6048, 0.0000, 0.0000], [0.0000, 3.4663, 0.0018], [0.0000, 1.6749, 6.8851]],
  "species": ["Sc", "P", "La", "P"],
  "frac_coords": [[0.5000, 0.2500, 0.2500], [0.0000, 0.4781, 0.4753], [0.5000, 0.7500, 0.7500], [0.0000, 0.0219, 0.0247]]
}

***

No. 10
{
  "formula": "KMnCl3",
  "functional": "PBE",
  "state": "optimized geometry",
  "e_tot_ev_per_cell": -92.010,
  "lattice": [[7.1474, 0.0000, 0.0000], [0.0000, 10.0428, 0.0000], [0.0000, 0.0000, 7.0440]],
  "species": ["Mn", "Cl", "Cl", "Cl", "K", "K", "Cl", "Cl", "Mn", "Cl", "Cl", "Mn", "Cl", "Cl", "K", "K", "Mn", "Cl", "Cl", "Cl"],
  "frac_coords": [[0.0000, 0.0000, 0.5000], [0.0073, 0.7500, 0.4370], [0.2101, 0.9680, 0.7903], [0.7899, 0.4680, 0.2097], [0.9528, 0.7500, 0.9887], [0.4528, 0.7500, 0.5113], [0.7101, 0.5320, 0.7097], [0.2101, 0.5320, 0.7903], [0.5000, 0.5000, 0.0000], [0.7101, 0.9680, 0.7097], [0.2899, 0.4680, 0.2903], [0.5000, 0.0000, 0.0000], [0.7899, 0.0320, 0.2097], [0.4927, 0.2500, 0.9370], [0.5472, 0.2500, 0.4887], [0.0472, 0.2500, 0.0113], [0.0000, 0.5000, 0.5000], [0.9927, 0.2500, 0.5630], [0.5073, 0.7500, 0.0630], [0.2899, 0.0320, 0.2903]]
}

***

No. 11
{
  "formula": "TaSi2Ir2",
  "functional": "PBE",
  "state": "optimized geometry",
  "e_tot_ev_per_cell": -85.694,
  "lattice": [[-1.5518, 5.1763, -4.7363], [-4.3884, -4.5009, -3.4812], [-2.1139, 0.8266, 1.5960]],
  "species": ["Ir", "Si", "Ir", "Ir", "Si", "Si", "Ir", "Si", "Ta", "Ta"],
  "frac_coords": [[0.1505, 0.6505, 0.5000], [0.1479, 0.3521, 0.0000], [0.6505, 0.8495, 0.5000], [0.3495, 0.1505, 0.5000], [0.6479, 0.1479, 0.0000], [0.3521, 0.8521, 0.0000], [0.8495, 0.3495, 0.5000], [0.8521, 0.6479, 0.0000], [0.5000, 0.5000, 0.0000], [0.0000, 0.0000, 0.0000]]
}

***

No. 12
{
  "formula": "Sr6Zn7",
  "functional": "PBE",
  "state": "optimized geometry",
  "formation_energy_ev_per_atom": -0.07,
  "lattice": [[-8.7652, -5.0154, 4.6630], [-8.9835, -6.2901, -1.8594], [-4.9019, -9.7673, 2.0729]],
  "species": ["Zn", "Zn", "Sr", "Zn", "Sr", "Sr", "Zn", "Zn", "Zn", "Sr", "Sr", "Sr", "Zn"],
  "frac_coords": [[0.4476, 0.8390, 0.4476], [0.5000, 0.5000, 0.5000], [0.0637, 0.0637, 0.0637], [0.1610, 0.5524, 0.5524], [0.9363, 0.9363, 0.9363], [0.6801, 0.6801, 0.6801], [0.5524, 0.1610, 0.5524], [0.8390, 0.4476, 0.4476], [0.4476, 0.4476, 0.8390], [0.1790, 0.1790, 0.1790], [0.8210, 0.8210, 0.8210], [0.3199, 0.3199, 0.3199], [0.5524, 0.5524, 0.1610]]
}